1.
A plane-wave DFT calculation with GGA-PBE was carried out for crystalline Th2Si3PdPt12 at its relaxed geometry.

Properties
Raw formation energy: -0.50 eV/atom
Calculated total energy: -6.547 eV/atom

Cell lengths 8.3039, 8.3039, 17.8537 Å; angles 90.00, 90.00, 120.00 degrees
Space group R-3m (No. 166, hexagonal axes)
Symmetry-distinct sites (fractional):
1 Th 0.0000 0.0000 0.1145 [6 per cell]
2 Si 0.0000 0.5000 0.0000 [9 per cell]
3 Pd 0.0000 0.0000 0.5000 [3 per cell]
4 Pt 0.0120 0.5060 0.8697 [18 per cell]
5 Pt 0.0249 0.5124 0.3689 [18 per cell]

2.
A plane-wave DFT calculation with GGA-PBE was carried out for crystalline Np2UPdS5 at its relaxed geometry.

Properties
Raw formation energy: -1.17 eV/atom
Calculated total energy: -8.167 eV/atom

Cell lengths 3.797, 16.287, 11.743 Å; angles 90.00, 90.00, 90.00 degrees
Space group Cmc2_1 (No. 36)
Symmetry-distinct sites (fractional):
1 Np 0.000 0.114 0.000 [4 per cell]
2 Np 0.000 0.116 0.369 [4 per cell]
3 U 0.000 0.195 0.693 [4 per cell]
4 Pd 0.000 0.447 0.113 [4 per cell]
5 S 0.000 0.038 0.737 [4 per cell]
6 S 0.000 0.297 0.355 [4 per cell]
7 S 0.000 0.305 0.028 [4 per cell]
8 S 0.000 0.358 0.687 [4 per cell]
9 S 0.000 0.497 0.432 [4 per cell]

3.
A plane-wave DFT calculation with GGA-PBE was carried out for crystalline Sm3DySb3 at its relaxed geometry.

Properties
Excess energy over the best structure of this formula in the dataset: 98 meV/atom
Raw formation energy: -0.93 eV/atom
Calculated total energy: -5.381 eV/atom

Cell lengths 9.1069, 9.1069, 18.7293 Å; angles 90.00, 90.00, 120.00 degrees
Space group R-3 (No. 148, hexagonal axes)
Symmetry-distinct sites (fractional):
1 Sm 0.0045 0.2654 0.0864 [18 per cell]
2 Dy 0.0000 0.0000 0.3331 [6 per cell]
3 Sb 0.0048 0.3893 0.9205 [18 per cell]

4.
A plane-wave DFT calculation with GGA-PBE was carried out for crystalline HoScCu2Ge2 at its relaxed geometry.

Properties
Formation energy from the elements: -0.6532 eV per atom
Calculated total energy: -5.376 eV/atom

Cell lengths 4.2016, 4.2016, 6.9799 Å; angles 90.00, 90.00, 120.00 degrees
Space group P-3m1 (No. 164)
Symmetry-distinct sites (fractional):
1 Ho 0.0000 0.0000 0.0000 [1 per cell]
2 Sc 0.0000 0.0000 0.5000 [1 per cell]
3 Cu 0.3333 0.6667 0.7142 [2 per cell]
4 Ge 0.3333 0.6667 0.2630 [2 per cell]

5.
A plane-wave DFT calculation with GGA-PBE was carried out for crystalline MgTa2Se at its relaxed geometry.

Properties
Excess energy over the best structure of this formula in the dataset: 584 meV/atom
Raw formation energy: 0.57 eV/atom
Calculated total energy: -6.626 eV/atom

Cell lengths 6.584, 6.584, 6.584 Å; angles 90.00, 90.00, 90.00 degrees
Space group Fm-3m (No. 225)
Symmetry-distinct sites (fractional):
1 Mg 0.000 0.000 0.000 [4 per cell]
2 Ta 0.250 0.250 0.250 [8 per cell]
3 Se 0.000 0.000 0.500 [4 per cell]

6.
A plane-wave DFT calculation with GGA-PBE was carried out for crystalline Rb2Zr2ScTe6 at its relaxed geometry.

Properties
Raw formation energy: -1.06 eV/atom
Calculated total energy: -5.080 eV/atom

Cell lengths 7.173, 12.432, 9.224 Å; angles 90.00, 105.20, 90.00 degrees
Space group C2/m (No. 12)
Symmetry-distinct sites (fractional):
1 Rb 0.000 0.166 0.000 [4 per cell]
2 Zr 0.000 0.332 0.500 [4 per cell]
3 Sc 0.000 0.000 0.500 [2 per cell]
4 Te 0.228 0.500 0.692 [4 per cell]
5 Te 0.234 0.165 0.694 [8 per cell]

7.
A plane-wave DFT calculation with GGA-PBE was carried out for crystalline SmCo3PC at its relaxed geometry.

Properties
Formation energy from the elements: -0.4052 eV per atom
Calculated total energy: -7.184 eV/atom

Cell lengths 5.312, 10.851, 5.513 Å; angles 90.00, 90.00, 90.00 degrees
Space group Cmcm (No. 63)
Symmetry-distinct sites (fractional):
1 Sm 0.000 0.246 0.250 [4 per cell]
2 Co 0.000 0.318 0.750 [4 per cell]
3 Co 0.240 0.500 0.000 [8 per cell]
4 P 0.000 0.118 0.750 [4 per cell]
5 C 0.000 0.484 0.750 [4 per cell]

8.
A plane-wave DFT calculation with GGA-PBE was carried out for crystalline La2Er2Al at its relaxed geometry.

Properties
Formation energy from the elements: 0.3462 eV per atom
Calculated total energy: -4.198 eV/atom

Cell lengths 4.9194, 4.9194, 25.7966 Å; angles 90.00, 90.00, 120.00 degrees
Space group R-3m (No. 166, hexagonal axes)
Symmetry-distinct sites (fractional):
1 La 0.0000 0.0000 0.0660 [6 per cell]
2 Er 0.0000 0.0000 0.2001 [6 per cell]
3 Al 0.0000 0.0000 0.5000 [3 per cell]

9.
A plane-wave DFT calculation with GGA-PBE was carried out for crystalline RbTlTe2N at its relaxed geometry.

Properties
Excess energy over the best structure of this formula in the dataset: 0 meV/atom
Raw formation energy: 0.61 eV/atom
Calculated total energy: -2.980 eV/atom

Cell lengths 6.180, 6.180, 4.521 Å; angles 90.00, 90.00, 90.00 degrees
Space group P4/mmm (No. 123)
Symmetry-distinct sites (fractional):
1 Rb 0.000 0.000 0.000 [1 per cell]
2 Tl 0.500 0.500 0.500 [1 per cell]
3 Te 0.000 0.500 0.500 [2 per cell]
4 N 0.500 0.500 0.000 [1 per cell]

10.
A plane-wave DFT calculation with GGA-PBE was carried out for crystalline Ho4ErAl at its relaxed geometry.

Properties
Excess energy over the best structure of this formula in the dataset: 85 meV/atom
Formation energy from the elements: -0.0362 eV per atom
Calculated total energy: -4.472 eV/atom

Cell lengths 8.650, 13.721, 6.187 Å; angles 90.00, 108.49, 90.00 degrees
Space group C2/c (No. 15)
Symmetry-distinct sites (fractional):
1 Ho 0.099 0.185 0.043 [8 per cell]
2 Ho 0.220 0.382 0.378 [8 per cell]
3 Er 0.000 0.409 0.750 [4 per cell]
4 Al 0.000 0.001 0.250 [4 per cell]

11.
A plane-wave DFT calculation with GGA-PBE was carried out for crystalline CaFeTe2 at its relaxed geometry.

Properties
Raw formation energy: -0.46 eV/atom
Calculated total energy: -4.644 eV/atom

Cell lengths 4.247, 4.247, 6.342 Å; angles 90.00, 90.00, 90.00 degrees
Space group P4mm (No. 99)
Symmetry-distinct sites (fractional):
1 Ca 0.000 0.000 0.000 [1 per cell]
2 Fe 0.500 0.500 0.437 [1 per cell]
3 Te 0.000 0.000 0.499 [1 per cell]
4 Te 0.500 0.500 0.011 [1 per cell]

12.
A plane-wave DFT calculation with GGA-PBE was carried out for crystalline LiPuHf2N4 at its relaxed geometry.

Properties
Raw formation energy: -1.45 eV/atom
Calculated total energy: -10.128 eV/atom

Cell lengths 5.541, 3.273, 5.733 Å; angles 90.00, 107.29, 90.00 degrees
Space group P2/m (No. 10)
Symmetry-distinct sites (fractional):
1 Li 0.000 0.000 0.000 [1 per cell]
2 Pu 0.500 0.500 0.000 [1 per cell]
3 Hf 0.000 0.500 0.500 [1 per cell]
4 Hf 0.500 0.000 0.500 [1 per cell]
5 N 0.240 0.000 0.726 [2 per cell]
6 N 0.270 0.500 0.279 [2 per cell]

13.
A plane-wave DFT calculation with GGA-PBE was carried out for crystalline LaNbW2 at its relaxed geometry.

Properties
Excess energy over the best structure of this formula in the dataset: 0 meV/atom
Formation energy from the elements: 0.6674 eV per atom
Calculated total energy: -9.559 eV/atom

Cell lengths 6.781, 6.781, 6.781 Å; angles 90.00, 90.00, 90.00 degrees
Space group Fm-3m (No. 225)
Symmetry-distinct sites (fractional):
1 La 0.000 0.000 0.000 [4 per cell]
2 Nb 0.000 0.000 0.500 [4 per cell]
3 W 0.250 0.250 0.250 [8 per cell]

14.
A plane-wave DFT calculation with GGA-PBE was carried out for crystalline Ac9In3Co2 at its relaxed geometry.

Properties
Formation energy from the elements: -0.1886 eV per atom
Calculated total energy: -4.432 eV/atom

Cell lengths 7.7865, 7.7865, 9.5610 Å; angles 90.00, 90.00, 120.00 degrees
Space group P-3m1 (No. 164)
Symmetry-distinct sites (fractional):
1 Ac 0.0000 0.5000 0.0000 [3 per cell]
2 Ac 0.1657 0.3314 0.6667 [6 per cell]
3 In 0.0000 0.0000 0.0000 [1 per cell]
4 In 0.3333 0.6667 0.3405 [2 per cell]
5 Co 0.3333 0.6667 0.8294 [2 per cell]

15.
A plane-wave DFT calculation with GGA-PBE was carried out for crystalline NaAlPb at its relaxed geometry.

Properties
Formation energy from the elements: 0.0762 eV per atom
Calculated total energy: -2.847 eV/atom

Cell lengths 4.232, 5.931, 7.109 Å; angles 106.56, 90.08, 110.42 degrees
Space group P1 (No. 1)
Symmetry-distinct sites (fractional):
1 Na 0.000 0.000 0.000 [1 per cell]
2 Na 0.315 0.627 0.171 [1 per cell]
3 Al 0.032 0.058 0.564 [1 per cell]
4 Al 0.663 0.325 0.794 [1 per cell]
5 Pb 0.344 0.684 0.662 [1 per cell]
6 Pb 0.634 0.266 0.359 [1 per cell]

16.
A plane-wave DFT calculation with GGA-PBE was carried out for crystalline Ba4Li2As at its relaxed geometry.

Properties
Formation energy from the elements: -0.2356 eV per atom
Calculated total energy: -2.545 eV/atom

Cell lengths 6.418, 6.418, 17.990 Å; angles 90.00, 90.00, 90.00 degrees
Space group I4/mmm (No. 139)
Symmetry-distinct sites (fractional):
1 Ba 0.000 0.000 0.179 [4 per cell]
2 Ba 0.000 0.500 0.000 [4 per cell]
3 Li 0.000 0.000 0.384 [4 per cell]
4 As 0.000 0.000 0.000 [2 per cell]

17.
A plane-wave DFT calculation with GGA-PBE was carried out for crystalline Cr2MoPt at its relaxed geometry.

Properties
Formation energy from the elements: 0.6451 eV per atom
Calculated total energy: -8.385 eV/atom

Cell lengths 3.779, 3.779, 17.089 Å; angles 90.00, 90.00, 90.00 degrees
Space group I-42d (No. 122)
Symmetry-distinct sites (fractional):
1 Cr 0.221 0.250 0.125 [8 per cell]
2 Mo 0.000 0.000 0.000 [4 per cell]
3 Pt 0.000 0.000 0.500 [4 per cell]

18.
A plane-wave DFT calculation with GGA-PBE was carried out for crystalline ZnHgOs2 at its relaxed geometry.

Properties
Excess energy over the best structure of this formula in the dataset: 559 meV/atom
Formation energy from the elements: 0.8368 eV per atom
Calculated total energy: -5.172 eV/atom

Cell lengths 3.957, 3.957, 18.954 Å; angles 90.00, 90.00, 90.00 degrees
Space group I-42d (No. 122)
Symmetry-distinct sites (fractional):
1 Zn 0.000 0.000 0.000 [4 per cell]
2 Hg 0.000 0.000 0.500 [4 per cell]
3 Os 0.162 0.250 0.125 [8 per cell]

19.
A plane-wave DFT calculation with GGA-PBE was carried out for crystalline YCu2Ni at its relaxed geometry.

Properties
Excess energy over the best structure of this formula in the dataset: 159 meV/atom
Formation energy from the elements: -0.1014 eV per atom
Calculated total energy: -5.211 eV/atom

Cell lengths 3.925, 4.134, 7.745 Å; angles 90.00, 90.00, 90.00 degrees
Space group Imm2 (No. 44)
Symmetry-distinct sites (fractional):
1 Y 0.000 0.000 0.000 [2 per cell]
2 Cu 0.000 0.000 0.506 [2 per cell]
3 Cu 0.000 0.500 0.758 [2 per cell]
4 Ni 0.000 0.500 0.244 [2 per cell]

20.
A plane-wave DFT calculation with GGA-PBE was carried out for crystalline Sc2Ga4Cu at its relaxed geometry.

Properties
Formation energy from the elements: -0.0626 eV per atom
Calculated total energy: -4.186 eV/atom

Cell lengths 4.471, 4.471, 14.199 Å; angles 90.00, 90.00, 90.00 degrees
Space group I4/mmm (No. 139)
Symmetry-distinct sites (fractional):
1 Sc 0.000 0.000 0.137 [4 per cell]
2 Ga 0.000 0.000 0.328 [4 per cell]
3 Ga 0.000 0.500 0.000 [4 per cell]
4 Cu 0.000 0.000 0.500 [2 per cell]

21.
A plane-wave DFT calculation with GGA-PBE was carried out for crystalline LiZnRe2 at its relaxed geometry.

Properties
Formation energy from the elements: 0.2237 eV per atom
Calculated total energy: -6.797 eV/atom

Cell lengths 9.620, 2.715, 4.572 Å; angles 90.00, 101.16, 90.00 degrees
Space group C2/m (No. 12)
Symmetry-distinct sites (fractional):
1 Li 0.000 0.000 0.000 [2 per cell]
2 Zn 0.000 0.500 0.500 [2 per cell]
3 Re 0.234 0.000 0.745 [4 per cell]

22.
A plane-wave DFT calculation with GGA-PBE was carried out for crystalline La2Tb2Dy2Y at its relaxed geometry.

Properties
Formation energy from the elements: 0.0294 eV per atom
Calculated total energy: -4.940 eV/atom

Cell lengths 11.437, 5.117, 8.074 Å; angles 90.00, 98.33, 90.00 degrees
Space group C2/m (No. 12)
Symmetry-distinct sites (fractional):
1 La 0.143 0.000 0.427 [4 per cell]
2 Tb 0.071 0.500 0.719 [4 per cell]
3 Dy 0.216 0.500 0.138 [4 per cell]
4 Y 0.000 0.000 0.000 [2 per cell]

23.
A plane-wave DFT calculation with GGA-PBE was carried out for crystalline TbDyMg5 at its relaxed geometry.

Properties
Formation energy from the elements: 0.1048 eV per atom
Calculated total energy: -2.353 eV/atom

Cell lengths 6.381, 9.710, 6.558 Å; angles 90.00, 110.01, 90.00 degrees
Space group C2/m (No. 12)
Symmetry-distinct sites (fractional):
1 Tb 0.000 0.000 0.000 [2 per cell]
2 Dy 0.000 0.500 0.500 [2 per cell]
3 Mg 0.000 0.000 0.500 [2 per cell]
4 Mg 0.205 0.288 0.225 [8 per cell]

24.
A plane-wave DFT calculation with GGA-PBE was carried out for crystalline TaFePt2 at its relaxed geometry.

Properties
Excess energy over the best structure of this formula in the dataset: 140 meV/atom
Formation energy from the elements: -0.4345 eV per atom
Calculated total energy: -8.534 eV/atom

Cell lengths 5.529, 7.956, 2.791 Å; angles 90.00, 90.00, 90.00 degrees
Space group Cmmm (No. 65)
Symmetry-distinct sites (fractional):
1 Ta 0.000 0.000 0.000 [2 per cell]
2 Fe 0.000 0.500 0.000 [2 per cell]
3 Pt 0.250 0.250 0.500 [4 per cell]